Entry 1
Crystalline RbMgIrI2 at its relaxed geometry. Source: the Alexandria database, functional PBE.

Cell and atoms, written as POSCAR:
```
RbMgIrI2
1.0
5.719 0.000 0.000
0.000 5.719 0.000
0.000 0.000 4.978
Rb Mg Ir I
1 1 1 2
Cartesian
0.000 0.000 0.000 Rb
2.860 2.860 0.000 Mg
2.860 2.860 2.489 Ir
0.000 2.860 2.489 I
2.860 0.000 2.489 I
```

## Properties
DOS(E_F) = 0.446 states/eV/atom
M_tot = 0.00 μB per formula unit



Entry 2
Crystalline RbMgIrI2 at its relaxed geometry. Source: the Alexandria database, functional PBE.

Cell and atoms, written as POSCAR:
```
RbMgIrI2
1.0
5.533 0.000 0.000
0.000 5.533 0.000
0.000 0.000 12.270
Rb Mg Ir I
1 1 1 2
Cartesian
0.000 0.000 0.000 Rb
0.000 0.000 6.135 Mg
2.766 2.766 0.000 Ir
0.000 2.766 6.135 I
2.766 0.000 6.135 I
```

## Properties
DOS(E_F) = 2.049 states/eV/atom
M_tot = 2.03 μB per formula unit



Ranking the structures above by energy, entry 1 is first and the second is 783 meV per atom behind.